[1]
{
  "formula": "LiHoTl2",
  "functional": "PBE",
  "state": "relaxed",
  "cell": [[-4.3135, 0.4509, -2.8118], [-0.1996, -1.9944, -4.7643], [-2.9192, -4.1607, -0.9397]],
  "species": ["Tl", "Tl", "Ho", "Li"],
  "fractional_positions": [[0.7500, 0.7500, 0.7500], [0.2500, 0.2500, 0.2500], [0.5000, 0.5000, 0.5000], [0.0000, 0.0000, 0.0000]],
  "total_energy_ev_per_atom": -3.11,
  "m_tot_mub_per_cell": 0.0,
  "formation_energy_ev_per_atom": -0.306,
  "polymorph_energy_kj_per_mol_fu": 0
}

[2]
{
  "formula": "Li3Ho3Tl2",
  "functional": "PBE",
  "state": "relaxed",
  "cell": [[-3.4611, 0.2442, -3.8101], [-3.0007, -4.0635, -1.0195], [-7.9398, 1.6341, 3.8324]],
  "species": ["Ho", "Ho", "Ho", "Li", "Li", "Li", "Tl", "Tl"],
  "fractional_positions": [[0.1263, 0.1263, 0.6211], [0.8752, 0.8752, 0.3743], [0.3760, 0.3760, 0.8721], [0.7389, 0.7389, 0.7834], [0.2542, 0.2542, 0.2375], [0.6237, 0.6237, 0.1288], [0.5073, 0.5073, 0.4782], [0.9985, 0.9985, 0.0045]],
  "total_energy_ev_per_atom": -3.21,
  "m_tot_mub_per_cell": 0.0,
  "formation_energy_ev_per_atom": -0.184
}

[3]
{
  "formula": "LiHo4Tl5",
  "functional": "PBE",
  "state": "relaxed",
  "cell": [[-1.8360, -2.8393, 1.1936], [-0.1328, -1.3153, -3.3331], [17.1941, -9.7833, 3.1755]],
  "species": ["Tl", "Tl", "Tl", "Tl", "Tl", "Li", "Ho", "Ho", "Ho", "Ho"],
  "fractional_positions": [[0.5000, 0.5000, 0.0817], [0.5000, 0.5000, 0.2901], [0.5000, 0.5000, 0.5000], [0.5000, 0.5000, 0.9183], [0.5000, 0.5000, 0.7099], [0.0000, 0.0000, 0.0000], [0.0000, 0.0000, 0.3947], [0.0000, 0.0000, 0.1853], [0.0000, 0.0000, 0.8147], [0.0000, 0.0000, 0.6053]],
  "total_energy_ev_per_atom": -3.52,
  "m_tot_mub_per_cell": 0.1,
  "formation_energy_ev_per_atom": -0.318
}

[4]
{
  "formula": "Li4HoTl",
  "functional": "PBE",
  "state": "relaxed",
  "cell": [[-4.4778, 2.8949, -1.3889], [-3.0750, -1.5724, -4.2932], [-5.0179, -2.1179, 0.8339]],
  "species": ["Li", "Li", "Li", "Li", "Tl", "Ho"],
  "fractional_positions": [[0.1232, 0.6256, 0.6256], [0.6256, 0.1232, 0.6256], [0.6256, 0.6256, 0.1232], [0.6256, 0.6256, 0.6256], [0.0000, 0.0000, 0.0000], [0.2500, 0.2500, 0.2500]],
  "total_energy_ev_per_atom": -2.53,
  "m_tot_mub_per_cell": 0.0,
  "formation_energy_ev_per_atom": -0.095
}